Ta2FeMo: single point on PBEsol structure, SCAN.

Offset from the most stable computed form ... 0.120 eV/atom
Energy of formation from the pure elements ... -0.78 kcal/mol of atoms

Cell lengths 3.2114, 4.4603, 8.5157 Å; angles 90.00, 90.00, 90.00 degrees
Last column: nearest neighbours and their distance in Å.
Space group Cmmm (No. 65)
Inequivalent atoms, fractional coordinates:
1 Ta 0.0000 0.0000 0.2343 (multiplicity 4)  2 Fe 2.56, 4 Ta 2.75, 2 Mo 2.77
2 Fe 0.0000 0.5000 0.0000 (multiplicity 2)  4 Ta 2.56, 4 Fe 2.75
3 Mo 0.0000 0.5000 0.5000 (multiplicity 2)  4 Mo 2.75, 4 Ta 2.77


Ba3V2P6H6O24: single point on PBEsol structure, SCAN.

DFT total energy ... -0.436 hartree per atom

Cell lengths 9.3754, 9.3754, 36.7153 Å; angles 90.00, 90.00, 120.00 degrees
Last column: nearest neighbours and their distance in Å.
Space group R-3c (No. 167, hexagonal axes)
Inequivalent atoms, fractional coordinates:
1 Ba 0.0000 0.4100 0.2500 (multiplicity 18)  10 O 2.76-2.99, 2 H 2.82
2 V 0.0000 0.0000 0.0000 (multiplicity 6)  6 O 2.03
3 V 0.0000 0.0000 0.2500 (multiplicity 6)  6 O 1.97
4 P 0.0342 0.4122 0.3650 (multiplicity 36)  4 O 1.54-1.57
5 H 0.0880 0.2388 0.8542 (multiplicity 36)  1 O 1.06
6 O 0.0220 0.2481 0.6572 (multiplicity 36)  1 H 1.06
7 O 0.0340 0.1852 0.4658 (multiplicity 36)  1 P 1.55
8 O 0.0585 0.2730 0.3804 (multiplicity 36)  1 H 1.43, 1 P 1.54
9 O 0.0907 0.1982 0.2192 (multiplicity 36)  1 P 1.54


Li2CoOs: single point on PBEsol structure, SCAN.

Offset from the most stable computed form ... 0.000 eV/atom
Energy of formation from the pure elements ... 5.51 kcal/mol of atoms

Cell lengths 2.6640, 2.6640, 7.3803 Å; angles 90.00, 90.00, 90.00 degrees
Last column: nearest neighbours and their distance in Å.
Space group P4mm (No. 99)
Inequivalent atoms, fractional coordinates:
1 Li 0.0000 0.0000 0.0000 (multiplicity 1)  4 Co 2.54, 4 Li 2.66
2 Li 0.5000 0.5000 0.2994 (multiplicity 1)  8 Li 2.66-2.90, 4 Os 2.70
3 Co 0.5000 0.5000 0.7700 (multiplicity 1)  4 Os 2.43, 4 Li 2.54, 4 Co 2.66
4 Os 0.0000 0.0000 0.5614 (multiplicity 1)  4 Co 2.43, 4 Os 2.66, 4 Li 2.70


Mg2HgBr: single point on PBEsol structure, SCAN.

Offset from the most stable computed form ... 0.000 eV/atom
Energy relative to the elements, uncorrected ... -388 meV/atom

Cell lengths 3.4880, 6.1473, 8.9787 Å; angles 90.00, 90.00, 90.00 degrees
Last column: nearest neighbours and their distance in Å.
Space group Immm (No. 71)
Inequivalent atoms, fractional coordinates:
1 Mg 0.0000 0.0000 0.2475 (multiplicity 4)  2 Br 2.82, 2 Hg 2.86
2 Hg 0.0000 0.5000 0.0000 (multiplicity 2)  4 Mg 2.86
3 Br 0.0000 0.5000 0.5000 (multiplicity 2)  4 Mg 2.82


Y3Co2Si3: single point on PBEsol structure, SCAN.

Energy relative to the elements, uncorrected ... -717 meV/atom

Cell lengths 4.0432, 10.3384, 13.4291 Å; angles 90.00, 90.00, 90.00 degrees
Last column: nearest neighbours and their distance in Å.
Space group Cmcm (No. 63)
Inequivalent atoms, fractional coordinates:
1 Y 0.0000 0.0806 0.1121 (multiplicity 8)  7 Si 2.89-3.24, 4 Co 2.93-3.09
2 Y 0.0000 0.3621 0.2500 (multiplicity 4)  4 Si 2.82-2.84
3 Co 0.0000 0.2157 0.5793 (multiplicity 8)  4 Si 2.31-2.58
4 Si 0.0000 0.3306 0.7500 (multiplicity 4)  2 Co 2.58, 6 Y 2.84-2.89
5 Si 0.0000 0.3795 0.0403 (multiplicity 8)  3 Co 2.31-2.33


RhAuNF2: single point on PBEsol structure, SCAN.

Offset from the most stable computed form ... 0.729 eV/atom
Energy relative to the elements, uncorrected ... 634 meV/atom

Cell lengths 4.4934, 4.4934, 3.6824 Å; angles 90.00, 90.00, 90.00 degrees
Last column: nearest neighbours and their distance in Å.
Space group P4/mmm (No. 123)
Inequivalent atoms, fractional coordinates:
1 Rh 0.0000 0.0000 0.0000 (multiplicity 1)  8 F 2.90, 4 N 3.18
2 Au 0.5000 0.5000 0.5000 (multiplicity 1)  2 N 1.84
3 N 0.5000 0.5000 0.0000 (multiplicity 1)  2 Au 1.84
4 F 0.0000 0.5000 0.5000 (multiplicity 2)  2 Au 2.25